A geometry-optimized Cd2IrW structure. Source: Alexandria, functional GGA-PBEsol.

Cell: 4.2740 4.2740 7.2791 Å, 90.00 90.00 90.00°
Fractional coordinates of all 8 atoms:
1 Cd 0.0000 0.0000 0.0000
2 Cd 0.0000 0.5000 0.2500
3 Cd 0.5000 0.0000 0.7500
4 Cd 0.5000 0.5000 0.5000
5 Ir 0.0000 0.0000 0.5000
6 Ir 0.5000 0.5000 0.0000
7 W 0.0000 0.5000 0.7500
8 W 0.5000 0.0000 0.2500

Computed properties:
Relative energy among the computed polymorphs = 161.6 meV per atom
Theoretical density = 15.008 g/cm³
E_tot = -6.0142 eV/atom
Energy of formation = 0.492 eV/atom



A geometry-optimized KMn structure. Source: Alexandria, functional GGA-PBEsol.

Cell: 4.9720 12.7318 4.6555 Å, 90.00 90.00 90.00°
Fractional coordinates of all 8 atoms:
1 K 0.0000 0.1538 0.2500
2 K 0.0000 0.8462 0.7500
3 K 0.5000 0.3462 0.7500
4 K 0.5000 0.6538 0.2500
5 Mn 0.0000 0.4582 0.2500
6 Mn 0.0000 0.5418 0.7500
7 Mn 0.5000 0.0418 0.7500
8 Mn 0.5000 0.9582 0.2500

Computed properties:
Relative energy among the computed polymorphs = 252.6 meV per atom
Theoretical density = 2.119 g/cm³
E_tot = -4.2113 eV/atom
Energy of formation = 1.236 eV/atom



A geometry-optimized KZn2P2HO8 structure. Source: Alexandria, functional GGA-PBEsol.

Cell: 5.2064 8.8200 9.4552 Å, 75.73 78.48 72.85°
Fractional coordinates of all 28 atoms:
1 K 0.2123 0.1970 0.3202
2 K 0.7877 0.8030 0.6798
3 Zn 0.1075 0.1179 0.7615
4 Zn 0.2996 0.3860 0.8913
5 Zn 0.7004 0.6140 0.1087
6 Zn 0.8925 0.8821 0.2385
7 P 0.1658 0.7462 0.9468
8 P 0.4008 0.7468 0.3986
9 P 0.5992 0.2532 0.6014
10 P 0.8342 0.2538 0.0532
11 H 0.4666 0.5653 0.6099
12 H 0.5334 0.4347 0.3901
13 O 0.0205 0.2669 0.8983
14 O 0.0530 0.9085 0.8471
15 O 0.0910 0.7983 0.4070
16 O 0.1295 0.6129 0.8789
17 O 0.4608 0.7265 0.9653
18 O 0.4694 0.3953 0.6843
19 O 0.4708 0.6844 0.5614
20 O 0.4789 0.1086 0.6703
21 O 0.5211 0.8914 0.3297
22 O 0.5292 0.3156 0.4386
23 O 0.5306 0.6047 0.3157
24 O 0.5392 0.2735 0.0347
25 O 0.8705 0.3871 0.1211
26 O 0.9090 0.2017 0.5930
27 O 0.9470 0.0915 0.1529
28 O 0.9795 0.7331 0.1017

Computed properties:
Theoretical density = 3.009 g/cm³
E_tot = -6.3554 eV/atom



A geometry-optimized Al5Ni structure. Source: Alexandria, functional GGA-PBEsol.

Cell: 4.7471 4.7471 4.5132 Å, 90.00 90.00 120.00°
Fractional coordinates of all 6 atoms:
1 Al 0.0000 0.6783 0.0000
2 Al 0.3217 0.3217 0.0000
3 Al 0.3333 0.6667 0.5000
4 Al 0.6667 0.3333 0.5000
5 Al 0.6783 0.0000 0.0000
6 Ni 0.0000 0.0000 0.5000

Computed properties:
Theoretical density = 3.650 g/cm³
E_tot = -4.5243 eV/atom
Energy of formation = -0.088 eV/atom



A geometry-optimized Fe2NiAs structure. Source: Alexandria, functional GGA-PBEsol.

Cell: 3.5004 3.5004 7.5576 Å, 90.00 90.00 90.00°
Fractional coordinates of all 8 atoms:
1 Fe 0.0000 0.5000 0.2500
2 Fe 0.0000 0.5000 0.7500
3 Fe 0.5000 0.0000 0.2500
4 Fe 0.5000 0.0000 0.7500
5 Ni 0.0000 0.0000 0.0000
6 Ni 0.5000 0.5000 0.5000
7 As 0.0000 0.0000 0.5000
8 As 0.5000 0.5000 0.0000

Computed properties:
Theoretical density = 8.798 g/cm³
E_tot = -7.3755 eV/atom
Energy of formation = -0.078 eV/atom



A geometry-optimized MgTiHgRu2 structure. Source: Alexandria, functional GGA-PBEsol.

Cell: 4.9112 4.9112 4.7546 Å, 90.00 90.00 90.00°
Fractional coordinates of all 5 atoms:
1 Mg 0.0000 0.0000 0.0000
2 Ti 0.5000 0.5000 0.0000
3 Hg 0.5000 0.5000 0.5000
4 Ru 0.0000 0.5000 0.5000
5 Ru 0.5000 0.0000 0.5000

Computed properties:
Theoretical density = 6.876 g/cm³
E_tot = -4.4573 eV/atom
Energy of formation = 1.733 eV/atom



A geometry-optimized Y2Mn structure. Source: Alexandria, functional GGA-PBEsol.

Cell: 3.3808 3.3808 7.4971 Å, 90.00 90.00 120.00°
Fractional coordinates of all 3 atoms:
1 Y 0.3333 0.6667 0.2960
2 Y 0.6667 0.3333 0.7040
3 Mn 0.0000 0.0000 0.0000

Computed properties:
Theoretical density = 5.208 g/cm³
E_tot = -7.3767 eV/atom
Energy of formation = 0.425 eV/atom



A geometry-optimized Sc2TeSe structure. Source: Alexandria, functional GGA-PBEsol.

Cell: 3.8499 3.8499 5.9767 Å, 90.00 90.00 90.00°
Fractional coordinates of all 4 atoms:
1 Sc 0.0000 0.0000 0.0000
2 Sc 0.5000 0.5000 0.3598
3 Te 0.5000 0.5000 0.8699
4 Se 0.0000 0.0000 0.4466

Computed properties:
Relative energy among the computed polymorphs = 57.5 meV per atom
ΔE_f (raw) = -1.3791 eV per atom
Theoretical density = 5.557 g/cm³
E_tot = -6.5258 eV/atom



A geometry-optimized Y4TlCo structure. Source: Alexandria, functional GGA-PBEsol.

Cell: 6.0420 6.0420 6.0420 Å, 60.00 60.00 60.00°
Fractional coordinates of all 6 atoms:
1 Y 0.1253 0.1253 0.1253
2 Y 0.1253 0.1253 0.6242
3 Y 0.1253 0.6242 0.1253
4 Y 0.6242 0.1253 0.1253
5 Tl 0.7500 0.7500 0.7500
6 Co 0.5000 0.5000 0.5000

Computed properties:
Theoretical density = 6.590 g/cm³
E_tot = -5.6033 eV/atom
Energy of formation = 0.673 eV/atom



A geometry-optimized MgTcTe2I structure. Source: Alexandria, functional GGA-PBEsol.

Cell: 5.3946 5.3946 5.4084 Å, 90.00 90.00 90.00°
Fractional coordinates of all 5 atoms:
1 Mg 0.0000 0.0000 0.0000
2 Tc 0.5000 0.5000 0.5000
3 Te 0.0000 0.5000 0.0000
4 Te 0.5000 0.0000 0.0000
5 I 0.0000 0.0000 0.5000

Computed properties:
ΔE_f (raw) = 0.9589 eV per atom
Theoretical density = 5.322 g/cm³
E_tot = -3.4016 eV/atom



A geometry-optimized MgTaOs structure. Source: Alexandria, functional GGA-PBEsol.

Cell: 5.9773 5.9773 5.9773 Å, 90.00 90.00 90.00°
Fractional coordinates of all 12 atoms:
1 Mg 0.0000 0.0000 0.0000
2 Mg 0.0000 0.5000 0.5000
3 Mg 0.5000 0.0000 0.5000
4 Mg 0.5000 0.5000 0.0000
5 Ta 0.2500 0.2500 0.7500
6 Ta 0.2500 0.7500 0.2500
7 Ta 0.7500 0.2500 0.2500
8 Ta 0.7500 0.7500 0.7500
9 Os 0.2500 0.2500 0.2500
10 Os 0.2500 0.7500 0.7500
11 Os 0.7500 0.2500 0.7500
12 Os 0.7500 0.7500 0.2500

Computed properties:
Theoretical density = 12.300 g/cm³
E_tot = -7.4853 eV/atom
Energy of formation = 1.343 eV/atom



A geometry-optimized KCaRh2 structure. Source: Alexandria, functional GGA-PBEsol.

Cell: 3.0219 3.0219 28.8265 Å, 90.00 90.00 120.00°
Fractional coordinates of all 12 atoms:
1 K 0.0000 0.0000 0.0000
2 K 0.3333 0.6667 0.6667
3 K 0.6667 0.3333 0.3333
4 Ca 0.0000 0.0000 0.5000
5 Ca 0.3333 0.6667 0.1667
6 Ca 0.6667 0.3333 0.8333
7 Rh 0.0000 0.0000 0.2428
8 Rh 0.0000 0.0000 0.7572
9 Rh 0.3333 0.6667 0.4239
10 Rh 0.3333 0.6667 0.9094
11 Rh 0.6667 0.3333 0.0906
12 Rh 0.6667 0.3333 0.5761

Computed properties:
Relative energy among the computed polymorphs = 257.9 meV per atom
Theoretical density = 6.227 g/cm³
E_tot = -4.4392 eV/atom
Energy of formation = 0.447 eV/atom